Record 1
Tb3Pm2Dy2, relaxed, DFT PBE-GGA; distance to the lowest polymorph of the same formula = 102 meV/atom; raw total energy = -0.167 Ha/atom; crystal system = monoclinic; Fermi-level density of states = 10.58 states/eV/f.u.
1.0
17.558 0.000 0.000
0.000 3.514 0.000
-4.185 0.000 7.488
Tb Pm Dy
6 4 4
Direct
0.000 0.000 0.000
0.212 0.000 0.300
0.288 0.500 0.700
0.500 0.500 0.000
0.712 0.500 0.300
0.788 0.000 0.700
0.066 0.500 0.412
0.434 0.000 0.588
0.566 0.000 0.412
0.934 0.500 0.588
0.149 0.000 0.833
0.351 0.500 0.167
0.649 0.500 0.833
0.851 0.000 0.167

Record 2
TbPm7Dy3, relaxed, DFT PBE-GGA; distance to the lowest polymorph of the same formula = 63 meV/atom; raw total energy = -0.166 Ha/atom; crystal system = trigonal; Fermi-level density of states = 17.06 states/eV/f.u.
1.0
7.176 0.000 0.000
-3.588 6.214 0.000
0.000 0.000 8.673
Tb Pm Dy
1 7 3
Direct
0.000 0.000 0.000
0.001 0.501 0.989
0.332 0.166 0.333
0.333 0.667 0.321
0.499 0.501 0.989
0.499 0.999 0.989
0.834 0.166 0.333
0.834 0.668 0.333
0.166 0.332 0.662
0.166 0.834 0.662
0.668 0.834 0.662

Record 3
Tb6Pm8Dy, relaxed, DFT PBE-GGA; distance to the lowest polymorph of the same formula = 0 meV/atom; raw total energy = -0.168 Ha/atom; crystal system = trigonal; Fermi-level density of states = 22.39 states/eV/f.u.
1.0
4.573 2.640 6.955
-4.573 2.640 6.955
0.000 -5.281 6.955
Tb Pm Dy
6 8 1
Direct
0.039 0.743 0.599
0.257 0.401 0.961
0.401 0.961 0.257
0.599 0.039 0.743
0.743 0.599 0.039
0.961 0.257 0.401
0.078 0.078 0.078
0.218 0.249 0.612
0.249 0.612 0.218
0.388 0.782 0.751
0.612 0.218 0.249
0.751 0.388 0.782
0.782 0.751 0.388
0.922 0.922 0.922
0.500 0.500 0.500

Record 4
TbPm2Dy6, relaxed, DFT PBE-GGA; raw total energy = -0.166 Ha/atom; crystal system = monoclinic; Fermi-level density of states = 11.66 states/eV/f.u.
1.0
6.417 -7.135 0.000
6.417 7.135 0.000
-1.602 0.000 6.389
Tb Pm Dy
2 4 12
Direct
0.119 0.881 0.750
0.881 0.119 0.250
0.332 0.382 0.628
0.382 0.332 0.128
0.618 0.668 0.872
0.668 0.618 0.372
0.043 0.222 0.817
0.059 0.462 0.271
0.222 0.043 0.317
0.277 0.651 0.996
0.349 0.723 0.504
0.462 0.059 0.771
0.538 0.941 0.229
0.651 0.277 0.496
0.723 0.349 0.004
0.778 0.957 0.683
0.941 0.538 0.729
0.957 0.778 0.183

Record 5
TbPm5Dy3, relaxed, DFT PBE-GGA; distance to the lowest polymorph of the same formula = 173 meV/atom; raw total energy = -0.161 Ha/atom; crystal system = tetragonal; Fermi-level density of states = 13.16 states/eV/f.u.
1.0
-4.606 4.606 7.216
4.606 -4.606 7.216
4.606 4.606 -7.216
Tb Pm Dy
2 10 6
Direct
0.250 0.750 0.500
0.750 0.250 0.500
0.000 0.000 0.000
0.070 0.570 0.906
0.164 0.070 0.500
0.336 0.836 0.906
0.430 0.336 0.500
0.500 0.500 0.000
0.570 0.664 0.500
0.664 0.164 0.094
0.836 0.930 0.500
0.930 0.430 0.094
0.111 0.389 0.500
0.250 0.250 0.000
0.389 0.889 0.279
0.611 0.111 0.721
0.750 0.750 0.000
0.889 0.611 0.500

Record 6
TbPm8Dy3, relaxed, DFT PBE-GGA; raw total energy = -0.172 Ha/atom; crystal system = triclinic; Fermi-level density of states = 20.93 states/eV/f.u.
1.0
6.343 0.000 0.000
3.152 7.990 0.000
3.168 -0.467 7.988
Tb Pm Dy
1 8 3
Direct
0.000 0.000 0.000
0.331 0.166 0.166
0.331 0.666 0.665
0.661 0.334 0.335
0.662 0.834 0.835
0.666 0.414 0.914
0.666 0.913 0.414
0.997 0.082 0.583
0.997 0.582 0.083
0.000 0.500 0.500
0.328 0.248 0.748
0.328 0.748 0.249

Record 7
Tb6Pm2Dy3, relaxed, DFT PBE-GGA; distance to the lowest polymorph of the same formula = 0 meV/atom; raw total energy = -0.164 Ha/atom; crystal system = monoclinic; Fermi-level density of states = 18.04 states/eV/f.u.
1.0
3.065 -5.317 0.000
3.065 5.317 0.000
-2.078 0.000 11.522
Tb Pm Dy
6 2 3
Direct
0.083 0.416 0.248
0.250 0.250 0.752
0.416 0.083 0.248
0.584 0.917 0.752
0.750 0.750 0.248
0.917 0.584 0.752
0.167 0.833 0.500
0.833 0.167 0.500
0.000 0.000 0.000
0.335 0.665 0.000
0.665 0.335 0.000

Record 8
TbPm6Dy2, relaxed, DFT PBE-GGA; distance to the lowest polymorph of the same formula = 0 meV/atom; raw total energy = -0.170 Ha/atom; crystal system = monoclinic; Fermi-level density of states = 12.08 states/eV/f.u.
1.0
8.221 -5.889 0.000
8.221 5.889 0.000
-0.648 0.000 6.191
Tb Pm Dy
2 12 4
Direct
0.098 0.902 0.750
0.902 0.098 0.250
0.021 0.739 0.181
0.073 0.355 0.347
0.261 0.979 0.319
0.312 0.593 0.486
0.355 0.073 0.847
0.407 0.688 0.014
0.593 0.312 0.986
0.645 0.927 0.153
0.688 0.407 0.514
0.739 0.021 0.681
0.927 0.645 0.653
0.979 0.261 0.819
0.235 0.432 0.917
0.432 0.235 0.417
0.568 0.765 0.583
0.765 0.568 0.083

| no. | size of the total moment (Bohr magnetons per cell) | formation energy from the elements (kJ per mole of atoms) |
| --- | --- | --- |
| 1 | 0.0 | 11.33 |
| 2 | 0.0 | 17.63 |
| 3 | 0.0 | 11.66 |
| 4 | 0.0 | 10.65 |
| 5 | 0.0 | 29.44 |
| 6 | 0.0 | 2.46 |
| 7 | 0.0 | 17.51 |
| 8 | 0.0 | 8.12 |